Entry 1:
ErHfInAg PBE optimized geometry; DFT total energy = -5.166 eV/atom; crystal system = cubic; D(E_F) = 2.416 states/eV per cell; mass density = 10.4 g cm⁻³; ΔH_f (0 K) = -3.21 kcal/mol of atoms; total magnetic moment = 0.9 Bohr magnetons per cell
1.0
0.000 3.568 3.568
3.568 0.000 3.568
3.568 3.568 0.000
Er Hf In Ag
1 1 1 1
Direct
0.000 0.000 0.000
0.500 0.500 0.500
0.750 0.750 0.750
0.250 0.250 0.250

=====

Entry 2:
ErHfNiAg PBE optimized geometry; DFT total energy = -5.950 eV/atom; crystal system = cubic; D(E_F) = 2.727 states/eV per cell; mass density = 10.9 g cm⁻³; ΔH_f (0 K) = -3.74 kcal/mol of atoms; total magnetic moment = 0.0 Bohr magnetons per cell
1.0
0.000 3.391 3.391
3.391 0.000 3.391
3.391 3.391 0.000
Er Hf Ni Ag
1 1 1 1
Direct
0.000 0.000 0.000
0.500 0.500 0.500
0.250 0.250 0.250
0.750 0.750 0.750

=====

Entry 3:
ErHfAgOs PBE optimized geometry; DFT total energy = -7.419 eV/atom; crystal system = cubic; D(E_F) = 2.994 states/eV per cell; mass density = 13.7 g cm⁻³; ΔH_f (0 K) = -6.23 kcal/mol of atoms; total magnetic moment = 0.0 Bohr magnetons per cell
1.0
0.000 3.394 3.394
3.394 0.000 3.394
3.394 3.394 0.000
Er Hf Ag Os
1 1 1 1
Direct
0.000 0.000 0.000
0.500 0.500 0.500
0.250 0.250 0.250
0.750 0.750 0.750

=====

Entry 4:
ErHfAgRu PBE optimized geometry; DFT total energy = -6.962 eV/atom; crystal system = cubic; D(E_F) = 3.165 states/eV per cell; mass density = 11.7 g cm⁻³; ΔH_f (0 K) = -6.94 kcal/mol of atoms; total magnetic moment = 0.0 Bohr magnetons per cell
1.0
0.000 3.398 3.398
3.398 0.000 3.398
3.398 3.398 0.000
Er Hf Ag Ru
1 1 1 1
Direct
0.000 0.000 0.000
0.500 0.500 0.500
0.250 0.250 0.250
0.750 0.750 0.750

=====

Entry 5:
ErHfAgS4 PBE optimized geometry; DFT total energy = -6.292 eV/atom; crystal system = orthorhombic; E_form (uncorrected) = -1.453 eV per atom; mass density = 5.9 g cm⁻³; total magnetic moment = 0.0 Bohr magnetons per cell
1.0
-3.790 3.938 5.495
3.790 -3.938 5.495
3.790 3.938 -5.495
Er Hf Ag S
2 2 2 8
Direct
0.000 0.000 0.000
0.500 0.000 0.500
0.500 0.000 0.000
0.500 0.500 0.500
0.122 0.372 0.750
0.878 0.628 0.250
0.269 0.260 0.491
0.269 0.778 0.009
0.275 0.248 0.027
0.279 0.752 0.527
0.721 0.248 0.473
0.725 0.752 0.973
0.731 0.222 0.991
0.731 0.740 0.509

=====

Entry 6:
Er3HfAg3S8 PBE optimized geometry; DFT total energy = -5.681 eV/atom; crystal system = monoclinic; E_form (uncorrected) = -1.333 eV per atom; mass density = 6.2 g cm⁻³; total magnetic moment = 0.0 Bohr magnetons per cell
1.0
6.704 -3.917 0.000
6.704 3.917 0.000
-4.450 0.000 6.397
Er Hf Ag S
3 1 3 8
Direct
0.000 0.000 0.000
0.000 0.500 0.500
0.500 0.000 0.500
0.500 0.500 0.000
0.000 0.500 0.000
0.500 0.000 0.000
0.500 0.500 0.500
0.246 0.246 0.256
0.259 0.734 0.767
0.266 0.266 0.758
0.266 0.741 0.233
0.734 0.259 0.767
0.734 0.734 0.242
0.741 0.266 0.233
0.754 0.754 0.744

=====

Entry 7:
Er2HfAg2S6 PBE optimized geometry; DFT total energy = -5.851 eV/atom; crystal system = monoclinic; E_form (uncorrected) = -1.347 eV per atom; D(E_F) = 0.000 states/eV per cell; mass density = 6.2 g cm⁻³; total magnetic moment = 0.0 Bohr magnetons per cell
1.0
3.378 -5.772 0.000
3.378 5.772 0.000
-2.603 0.000 6.326
Er Hf Ag S
2 1 2 6
Direct
0.167 0.833 0.000
0.833 0.167 0.000
0.500 0.500 0.000
0.323 0.677 0.500
0.677 0.323 0.500
0.094 0.411 0.771
0.275 0.275 0.230
0.411 0.094 0.771
0.589 0.906 0.229
0.725 0.725 0.770
0.906 0.589 0.229

=====

Entry 8:
ErHfTcAg PBE optimized geometry; DFT total energy = -7.104 eV/atom; crystal system = cubic; D(E_F) = 3.025 states/eV per cell; mass density = 11.6 g cm⁻³; ΔH_f (0 K) = -3.93 kcal/mol of atoms; total magnetic moment = 0.0 Bohr magnetons per cell
1.0
0.000 3.401 3.401
3.401 0.000 3.401
3.401 3.401 0.000
Er Hf Tc Ag
1 1 1 1
Direct
0.000 0.000 0.000
0.500 0.500 0.500
0.250 0.250 0.250
0.750 0.750 0.750

=====

Entry 9:
Er3HfAg3Te8 PBE optimized geometry; DFT total energy = -4.626 eV/atom; crystal system = monoclinic; E_form (uncorrected) = -0.804 eV per atom; mass density = 7.3 g cm⁻³; total magnetic moment = 0.0 Bohr magnetons per cell
1.0
7.456 -4.305 0.000
7.456 4.305 0.000
-4.994 0.000 7.149
Er Hf Ag Te
3 1 3 8
Direct
0.000 0.000 0.000
0.000 0.500 0.000
0.500 0.000 0.000
0.500 0.500 0.000
0.000 0.500 0.500
0.500 0.000 0.500
0.500 0.500 0.500
0.251 0.251 0.253
0.260 0.260 0.759
0.260 0.739 0.759
0.261 0.740 0.241
0.739 0.260 0.759
0.740 0.261 0.241
0.740 0.740 0.241
0.749 0.749 0.747

=====

Entry 10:
ErHfZnAg PBE optimized geometry; DFT total energy = -4.767 eV/atom; crystal system = cubic; D(E_F) = 4.127 states/eV per cell; mass density = 10.3 g cm⁻³; ΔH_f (0 K) = -2.46 kcal/mol of atoms; total magnetic moment = 0.9 Bohr magnetons per cell
1.0
0.000 3.468 3.468
3.468 0.000 3.468
3.468 3.468 0.000
Er Hf Zn Ag
1 1 1 1
Direct
0.000 0.000 0.000
0.500 0.500 0.500
0.750 0.750 0.750
0.250 0.250 0.250

=====

Entry 11:
Er2Ag2Hg PBE optimized geometry; DFT total energy = -3.212 eV/atom; crystal system = orthorhombic; D(E_F) = 3.013 states/eV per cell; mass density = 10.1 g cm⁻³; ΔH_f (0 K) = -4.29 kcal/mol of atoms; total magnetic moment = 0.0 Bohr magnetons per cell
1.0
-1.744 2.430 7.284
1.744 -2.430 7.284
1.744 2.430 -7.284
Er Ag Hg
2 2 1
Direct
0.178 0.178 0.000
0.822 0.822 0.000
0.387 0.387 0.000
0.613 0.613 0.000
0.000 0.500 0.500

=====

Entry 12:
ErAg8Hg2 PBE optimized geometry; DFT total energy = -2.539 eV/atom; crystal system = monoclinic; D(E_F) = 3.323 states/eV per cell; mass density = 10.6 g cm⁻³; ΔH_f (0 K) = 0.11 kcal/mol of atoms; total magnetic moment = 0.0 Bohr magnetons per cell
1.0
6.903 -2.832 0.000
6.903 2.832 0.000
-1.663 0.000 5.729
Er Ag Hg
1 8 2
Direct
0.000 0.000 0.000
0.159 0.652 0.334
0.259 0.259 0.960
0.348 0.841 0.666
0.427 0.427 0.781
0.573 0.573 0.219
0.652 0.159 0.334
0.741 0.741 0.040
0.841 0.348 0.666
0.208 0.208 0.393
0.792 0.792 0.607

=====

Entry 13:
ErAg2Hg4 PBE optimized geometry; DFT total energy = -1.790 eV/atom; crystal system = tetragonal; D(E_F) = 4.283 states/eV per cell; mass density = 11.9 g cm⁻³; ΔH_f (0 K) = -3.48 kcal/mol of atoms; total magnetic moment = 0.0 Bohr magnetons per cell
1.0
4.908 0.000 0.000
0.000 4.908 0.000
0.000 0.000 6.895
Er Ag Hg
1 2 4
Direct
0.000 0.000 0.000
0.000 0.000 0.500
0.500 0.500 0.000
0.000 0.500 0.273
0.000 0.500 0.727
0.500 0.000 0.273
0.500 0.000 0.727

=====

Entry 14:
Er2AgHg2 PBE optimized geometry; DFT total energy = -2.856 eV/atom; crystal system = tetragonal; D(E_F) = 5.710 states/eV per cell; excess energy over the best structure of this formula in the dataset = 0.000 eV per atom; mass density = 11.4 g cm⁻³; ΔH_f (0 K) = -7.84 kcal/mol of atoms; total magnetic moment = 0.0 Bohr magnetons per cell
1.0
7.897 0.000 0.000
0.000 7.897 0.000
0.000 0.000 3.939
Er Ag Hg
4 2 4
Direct
0.165 0.335 0.000
0.335 0.835 0.000
0.665 0.165 0.000
0.835 0.665 0.000
0.000 0.000 0.500
0.500 0.500 0.500
0.136 0.636 0.500
0.364 0.136 0.500
0.636 0.864 0.500
0.864 0.364 0.500

=====

Entry 15:
Er3AgHg4 PBE optimized geometry; DFT total energy = -2.509 eV/atom; crystal system = orthorhombic; D(E_F) = 4.278 states/eV per cell; excess energy over the best structure of this formula in the dataset = 0.000 eV per atom; mass density = 11.5 g cm⁻³; ΔH_f (0 K) = -6.70 kcal/mol of atoms; total magnetic moment = 0.0 Bohr magnetons per cell
1.0
-1.790 4.585 6.220
1.790 -4.585 6.220
1.790 4.585 -6.220
Er Ag Hg
3 1 4
Direct
0.000 0.000 0.000
0.296 0.796 0.500
0.704 0.204 0.500
0.500 0.500 0.000
0.106 0.373 0.733
0.360 0.627 0.733
0.640 0.373 0.267
0.894 0.627 0.267

=====

Entry 16:
Er3Ag4Hg4 PBE optimized geometry; DFT total energy = -2.649 eV/atom; crystal system = orthorhombic; D(E_F) = 6.678 states/eV per cell; mass density = 11.7 g cm⁻³; ΔH_f (0 K) = -5.95 kcal/mol of atoms; total magnetic moment = 0.0 Bohr magnetons per cell
1.0
-1.669 2.431 15.123
1.669 -2.431 15.123
1.669 2.431 -15.123
Er Ag Hg
3 4 4
Direct
0.000 0.000 0.000
0.361 0.861 0.500
0.639 0.139 0.500
0.092 0.592 0.500
0.266 0.266 0.000
0.734 0.734 0.000
0.908 0.408 0.500
0.184 0.684 0.500
0.452 0.452 0.000
0.548 0.548 0.000
0.816 0.316 0.500

=====

Entry 17:
Er2AgHg5 PBE optimized geometry; DFT total energy = -1.908 eV/atom; crystal system = tetragonal; D(E_F) = 4.688 states/eV per cell; excess energy over the best structure of this formula in the dataset = 0.000 eV per atom; mass density = 12.9 g cm⁻³; ΔH_f (0 K) = -5.12 kcal/mol of atoms; total magnetic moment = 0.2 Bohr magnetons per cell
1.0
-2.562 2.562 7.113
2.562 -2.562 7.113
2.562 2.562 -7.113
Er Ag Hg
2 1 5
Direct
0.248 0.248 0.000
0.752 0.752 0.000
0.500 0.500 0.000
0.000 0.000 0.000
0.121 0.621 0.500
0.379 0.879 0.500
0.621 0.121 0.500
0.879 0.379 0.500

=====

Entry 18:
Er3AgHg4 PBE optimized geometry; DFT total energy = -2.495 eV/atom; crystal system = triclinic; D(E_F) = 4.721 states/eV per cell; excess energy over the best structure of this formula in the dataset = 0.014 eV per atom; mass density = 11.7 g cm⁻³; ΔH_f (0 K) = -6.37 kcal/mol of atoms; total magnetic moment = 0.0 Bohr magnetons per cell
1.0
3.926 0.000 0.000
0.048 4.470 0.000
1.469 1.852 11.393
Er Ag Hg
3 1 4
Direct
0.000 0.000 0.000
0.394 0.885 0.284
0.606 0.115 0.716
0.500 0.500 0.000
0.070 0.572 0.809
0.215 0.719 0.554
0.785 0.281 0.446
0.930 0.428 0.191

=====

Entry 19:
Er6AgHg2 PBE optimized geometry; DFT total energy = -3.496 eV/atom; crystal system = orthorhombic; D(E_F) = 10.194 states/eV per cell; mass density = 9.3 g cm⁻³; ΔH_f (0 K) = -1.61 kcal/mol of atoms; total magnetic moment = 0.0 Bohr magnetons per cell
1.0
-2.505 3.564 7.537
2.505 -3.564 7.537
2.505 3.564 -7.537
Er Ag Hg
6 1 2
Direct
0.083 0.335 0.748
0.247 0.000 0.247
0.413 0.665 0.748
0.587 0.335 0.252
0.753 0.000 0.753
0.917 0.665 0.252
0.000 0.500 0.500
0.333 0.833 0.500
0.667 0.167 0.500

=====

Entry 20:
Er3Ag4Hg2 PBE optimized geometry; DFT total energy = -3.144 eV/atom; crystal system = monoclinic; D(E_F) = 3.902 states/eV per cell; excess energy over the best structure of this formula in the dataset = 0.000 eV per atom; mass density = 10.9 g cm⁻³; ΔH_f (0 K) = -6.65 kcal/mol of atoms; total magnetic moment = 0.0 Bohr magnetons per cell
1.0
4.417 -2.557 0.000
4.417 2.557 0.000
-0.645 0.000 9.001
Er Ag Hg
3 4 2
Direct
0.000 0.000 0.000
0.356 0.356 0.260
0.644 0.644 0.740
0.030 0.030 0.344
0.328 0.328 0.930
0.672 0.672 0.070
0.970 0.970 0.656
0.302 0.302 0.605
0.698 0.698 0.395